# CaLa2H

CaLa2H after structural relaxation (GGA-PBE, Alexandria).

Calculated values
Energy above the lowest structure with this stoichiometry ... 0.02 eV/f.u.
Final energy ... -3.95 eV/atom

Structure (POSCAR):
```
CaLa2H
1.0
1.905 1.100 9.485
-1.905 1.100 9.485
0.000 -2.200 9.485
Ca La H
1 2 1
direct
0.000 0.000 0.000
0.217 0.217 0.217
0.783 0.783 0.783
0.500 0.500 0.500
```